[1]
## LiDyGa2 (GGA-PBE)

Data for a geometry-optimized LiDyGa2 structure.

a = 7.4234 Å, b = 4.2935 Å, c = 5.5637 Å
α = 90.00°, β = 116.48°, γ = 90.00°
With the nearest neighbours (Å) after each atom.
Space group C2/m (No. 12)
Asymmetric unit:
Li1 0.0000 0.0000 0.0000 [2 per cell]  6 Ga 2.56-2.57
Dy1 0.0000 0.5000 0.5000 [2 per cell]  8 Ga 3.07-3.16
Ga1 0.2116 0.5000 0.1347 [4 per cell]  3 Li 2.56-2.57, 3 Ga 2.81-2.82

Values from the calculation:
Fermi-level density of states (states/eV per cell): 3.6
Offset from the most stable computed form (kJ/mol of atoms): 0.0

***

[2]
## LiDyGa4 (GGA-PBE)

Data for a geometry-optimized LiDyGa4 structure.

a = 7.7121 Å, b = 7.7121 Å, c = 7.7121 Å
α = 90.00°, β = 90.00°, γ = 90.00°
With the nearest neighbours (Å) after each atom.
Space group F-43m (No. 216)
Asymmetric unit:
Li1 0.0000 0.0000 0.0000 [4 per cell]  12 Ga 3.20, 4 Dy 3.34
Dy1 0.2500 0.2500 0.2500 [4 per cell]  12 Ga 3.20, 4 Li 3.34
Ga1 0.1251 0.1251 0.6251 [16 per cell]  6 Ga 2.73

Values from the calculation:
Total DFT energy (no corrections) (eV/atom): -3.460
Fermi-level density of states (states/eV per cell): 17.5

***

[3]
## LiDyGa6 (GGA-PBE)

Data for a geometry-optimized LiDyGa6 structure.

a = 4.3255 Å, b = 6.4541 Å, c = 10.7200 Å
α = 90.00°, β = 90.00°, γ = 90.00°
With the nearest neighbours (Å) after each atom.
Space group Amm2 (No. 38)
Asymmetric unit:
Li1 0.0000 0.0000 0.0000 [2 per cell]  8 Ga 2.74-3.01
Dy1 0.5000 0.0000 0.3039 [2 per cell]  12 Ga 3.00-3.24
Ga1 0.0000 0.0000 0.4972 [2 per cell]  6 Ga 2.72-2.79, 2 Dy 3.00
Ga2 0.0000 0.2072 0.7184 [4 per cell]  6 Ga 2.67-2.81
Ga3 0.5000 0.0000 0.8265 [2 per cell]  6 Ga 2.79-2.90, 2 Li 2.85
Ga4 0.5000 0.2441 0.0535 [4 per cell]  2 Li 2.74, 5 Ga 2.79-2.90

Values from the calculation:
Fermi-level density of states (states/eV per cell): 6.4
Offset from the most stable computed form (kJ/mol of atoms): 0.6